Tc3NiC: relaxed, GGA-PBE.

Computed properties:
The value obtained for the formation energy is 0.083 eV per atom. The calculated volume comes out at 61.3 Å³/f.u. As for the magnetization: 0.0 μB per formula unit. For the total energy, the calculation gives -0.3358 Ha/atom. The space group is P2_1/m, No. 11.

a = 5.646 Å, b = 2.882 Å, c = 8.038 Å
α = 90.00°, β = 110.50°, γ = 90.00°
Element x y z (fractional)
Tc 0.031 0.250 0.359
Tc 0.185 0.750 0.097
Tc 0.421 0.750 0.635
Tc 0.579 0.250 0.365
Tc 0.815 0.250 0.903
Tc 0.969 0.750 0.641
Ni 0.333 0.250 0.884
Ni 0.667 0.750 0.116
C 0.297 0.750 0.362
C 0.703 0.250 0.638